Record 1
# ZrRe3

A relaxed ZrRe3 crystal (PBE-GGA, Alexandria via LeMat-Bulk).

Cell lengths 4.0455, 4.0455, 4.0455 Å; angles 90.00, 90.00, 90.00 degrees
Closest atoms and distances in Å follow each position.
Positions (direct):
Zr 0.0000 0.0000 0.0000  12 Re 2.86
Re 0.0000 0.5000 0.5000  8 Re 2.86, 4 Zr 2.86
Re 0.5000 0.0000 0.5000  8 Re 2.86, 4 Zr 2.86
Re 0.5000 0.5000 0.0000  8 Re 2.86, 4 Zr 2.86

## Properties
- E (eV/f.u.) = -44.9
- ΔE to the lowest computed polymorph (meV/atom) = 264

Record 2
# ZrRe6

A relaxed ZrRe6 crystal (PBE-GGA, Alexandria via LeMat-Bulk).

Cell lengths 8.4833, 5.1339, 10.7949 Å; angles 90.00, 90.00, 90.00 degrees
Closest atoms and distances in Å follow each position.
Positions (direct):
Zr 0.2302 0.2500 0.0549  6 Re 2.90-3.12
Zr 0.2698 0.7500 0.5549  6 Re 2.90-3.12
Zr 0.7302 0.2500 0.4451  6 Re 2.90-3.12
Zr 0.7698 0.7500 0.9451  6 Re 2.90-3.12
Re 0.0718 0.0086 0.3063  7 Re 2.48-2.74
Re 0.0718 0.4914 0.3063  7 Re 2.48-2.74
Re 0.0729 0.7500 0.0760  4 Re 2.53-2.83
Re 0.0843 0.2500 0.5222  5 Re 2.64-2.65
Re 0.1394 0.7500 0.8475  7 Re 2.53-2.78
Re 0.1837 0.2500 0.7550  7 Re 2.52-2.78
Re 0.3163 0.7500 0.2550  7 Re 2.52-2.78
Re 0.3606 0.2500 0.3475  7 Re 2.53-2.78
Re 0.4157 0.7500 0.0222  5 Re 2.64-2.65
Re 0.4271 0.2500 0.5760  4 Re 2.53-2.83
Re 0.4282 0.5086 0.8063  7 Re 2.48-2.74
Re 0.4282 0.9914 0.8063  7 Re 2.48-2.74
Re 0.5718 0.0086 0.1937  7 Re 2.48-2.74
Re 0.5718 0.4914 0.1937  7 Re 2.48-2.74
Re 0.5729 0.7500 0.4240  4 Re 2.53-2.83
Re 0.5843 0.2500 0.9778  5 Re 2.64-2.65
Re 0.6394 0.7500 0.6525  7 Re 2.53-2.78
Re 0.6837 0.2500 0.7450  7 Re 2.52-2.78
Re 0.8163 0.7500 0.2450  7 Re 2.52-2.78
Re 0.8606 0.2500 0.1525  7 Re 2.53-2.78
Re 0.9157 0.7500 0.4778  5 Re 2.64-2.65
Re 0.9271 0.2500 0.9240  4 Re 2.53-2.83
Re 0.9282 0.5086 0.6937  7 Re 2.48-2.74
Re 0.9282 0.9914 0.6937  7 Re 2.48-2.74

## Properties
- E (eV/f.u.) = -83.2
- ΔE to the lowest computed polymorph (meV/atom) = 0

Record 3
# Zr2Re

A relaxed Zr2Re crystal (PBE-GGA, Alexandria via LeMat-Bulk).

Cell lengths 8.8413, 8.8413, 8.8413 Å; angles 60.00, 60.00, 60.00 degrees
Closest atoms and distances in Å follow each position.
Positions (direct):
Zr 0.0000 0.0000 0.0000  6 Re 2.72
Zr 0.0000 0.0000 0.5000  6 Re 2.72
Zr 0.0000 0.5000 0.0000  6 Re 2.72
Zr 0.1858 0.1858 0.5642  4 Re 2.92-3.20, 2 Zr 3.21
Zr 0.1858 0.5642 0.1858  4 Re 2.92-3.20, 2 Zr 3.21
Zr 0.1858 0.5642 0.5642  4 Re 2.92-3.20, 2 Zr 3.21
Zr 0.4358 0.4358 0.8142  4 Re 2.92-3.20, 2 Zr 3.21
Zr 0.4358 0.8142 0.4358  4 Re 2.92-3.20, 2 Zr 3.21
Zr 0.4358 0.8142 0.8142  4 Re 2.92-3.20, 2 Zr 3.21
Zr 0.5000 0.0000 0.0000  6 Re 2.72
Zr 0.5642 0.1858 0.1858  4 Re 2.92-3.20, 2 Zr 3.21
Zr 0.5642 0.1858 0.5642  4 Re 2.92-3.20, 2 Zr 3.21
Zr 0.5642 0.5642 0.1858  4 Re 2.92-3.20, 2 Zr 3.21
Zr 0.8142 0.4358 0.4358  4 Re 2.92-3.20, 2 Zr 3.21
Zr 0.8142 0.4358 0.8142  4 Re 2.92-3.20, 2 Zr 3.21
Zr 0.8142 0.8142 0.4358  4 Re 2.92-3.20, 2 Zr 3.21
Re 0.1320 0.7893 0.7893  6 Zr 2.72-2.92, 3 Re 3.03
Re 0.2107 0.2107 0.2107  6 Zr 2.72-2.92, 3 Re 3.03
Re 0.2107 0.2107 0.8680  6 Zr 2.72-2.92, 3 Re 3.03
Re 0.2107 0.8680 0.2107  6 Zr 2.72-2.92, 3 Re 3.03
Re 0.7893 0.1320 0.7893  6 Zr 2.72-2.92, 3 Re 3.03
Re 0.7893 0.7893 0.1320  6 Zr 2.72-2.92, 3 Re 3.03
Re 0.7893 0.7893 0.7893  6 Zr 2.72-2.92, 3 Re 3.03
Re 0.8680 0.2107 0.2107  6 Zr 2.72-2.92, 3 Re 3.03

## Properties
- E (eV/f.u.) = -30.0

Record 4
# Zr3Re

A relaxed Zr3Re crystal (PBE-GGA, Alexandria via LeMat-Bulk).

Cell lengths 4.0444, 4.0444, 19.8605 Å; angles 90.00, 90.00, 90.00 degrees
Closest atoms and distances in Å follow each position.
Positions (direct):
Zr 0.0000 0.0000 0.1254  4 Re 2.86, 4 Zr 3.20
Zr 0.0000 0.0000 0.8746  4 Re 2.86, 4 Zr 3.20
Zr 0.0000 0.5000 0.0000  4 Zr 2.86, 4 Re 3.17
Zr 0.0000 0.5000 0.2500  8 Zr 2.86-3.20
Zr 0.0000 0.5000 0.5000  4 Zr 2.86, 4 Re 3.17
Zr 0.0000 0.5000 0.7500  8 Zr 2.86-3.20
Zr 0.5000 0.0000 0.0000  4 Zr 2.86, 4 Re 3.17
Zr 0.5000 0.0000 0.2500  8 Zr 2.86-3.20
Zr 0.5000 0.0000 0.5000  4 Zr 2.86, 4 Re 3.17
Zr 0.5000 0.0000 0.7500  8 Zr 2.86-3.20
Zr 0.5000 0.5000 0.3746  4 Re 2.86, 4 Zr 3.20
Zr 0.5000 0.5000 0.6254  4 Re 2.86, 4 Zr 3.20
Re 0.0000 0.0000 0.3773  8 Zr 2.86-3.17
Re 0.0000 0.0000 0.6227  8 Zr 2.86-3.17
Re 0.5000 0.5000 0.1227  8 Zr 2.86-3.17
Re 0.5000 0.5000 0.8773  8 Zr 2.86-3.17

## Properties
- E (eV/f.u.) = -37.6

Record 5
# ZrRe2

A relaxed ZrRe2 crystal (PBE-GGA, Alexandria via LeMat-Bulk).

Cell lengths 6.3417, 6.3417, 6.3417 Å; angles 90.00, 90.00, 90.00 degrees
Closest atoms and distances in Å follow each position.
Positions (direct):
Zr 0.0000 0.0000 0.0000  6 Re 2.67
Zr 0.0000 0.5000 0.5000  6 Re 2.67
Zr 0.5000 0.0000 0.5000  6 Re 2.67
Zr 0.5000 0.5000 0.0000  6 Re 2.67
Re 0.1072 0.6072 0.8928  1 Re 2.35
Re 0.1072 0.8928 0.3928  1 Re 2.35
Re 0.3928 0.1072 0.8928  1 Re 2.35
Re 0.3928 0.3928 0.3928  1 Re 2.35
Re 0.6072 0.6072 0.6072  1 Re 2.35
Re 0.6072 0.8928 0.1072  1 Re 2.35
Re 0.8928 0.1072 0.6072  1 Re 2.35
Re 0.8928 0.3928 0.1072  1 Re 2.35

## Properties
- E (eV/f.u.) = -28.4

Record 6
# Zr3Re

A relaxed Zr3Re crystal (PBE-GGA, Alexandria via LeMat-Bulk).

Cell lengths 6.6581, 8.8793, 5.9245 Å; angles 90.00, 90.00, 90.00 degrees
Closest atoms and distances in Å follow each position.
Positions (direct):
Zr 0.0264 0.2500 0.1259  2 Re 2.66-2.79
Zr 0.1848 0.0538 0.6571  2 Re 2.70-2.73
Zr 0.1848 0.4462 0.6571  2 Re 2.70-2.73
Zr 0.3152 0.5538 0.1571  2 Re 2.70-2.73
Zr 0.3152 0.9462 0.1571  2 Re 2.70-2.73
Zr 0.4736 0.7500 0.6259  2 Re 2.66-2.79
Zr 0.5264 0.2500 0.3741  2 Re 2.66-2.79
Zr 0.6848 0.0538 0.8429  2 Re 2.70-2.73
Zr 0.6848 0.4462 0.8429  2 Re 2.70-2.73
Zr 0.8152 0.5538 0.3429  2 Re 2.70-2.73
Zr 0.8152 0.9462 0.3429  2 Re 2.70-2.73
Zr 0.9736 0.7500 0.8741  2 Re 2.66-2.79
Re 0.1142 0.7500 0.4310  6 Zr 2.66-2.79
Re 0.3858 0.2500 0.9310  6 Zr 2.66-2.79
Re 0.6142 0.7500 0.0690  6 Zr 2.66-2.79
Re 0.8858 0.2500 0.5690  6 Zr 2.66-2.79

## Properties
- E (eV/f.u.) = -38.2

Record 7
# ZrRe3

A relaxed ZrRe3 crystal (PBE-GGA, Alexandria via LeMat-Bulk).

Cell lengths 4.8226, 4.8226, 4.8226 Å; angles 90.00, 90.00, 90.00 degrees
Closest atoms and distances in Å follow each position.
Positions (direct):
Zr 0.0000 0.0000 0.0000  6 Re 2.41
Re 0.0000 0.0000 0.5000  2 Zr 2.41
Re 0.0000 0.5000 0.0000  2 Zr 2.41
Re 0.5000 0.0000 0.0000  2 Zr 2.41

## Properties
- E (eV/f.u.) = -30.9
- ΔE to the lowest computed polymorph (meV/atom) = 3750

Record 8
# Zr3Re

A relaxed Zr3Re crystal (PBE-GGA, Alexandria via LeMat-Bulk).

Cell lengths 4.8392, 4.8392, 3.4150 Å; angles 90.00, 90.00, 90.00 degrees
Closest atoms and distances in Å follow each position.
Positions (direct):
Zr 0.0000 0.0000 0.0000  8 Zr 2.96
Zr 0.0000 0.5000 0.5000  4 Zr 2.96, 4 Re 2.96
Zr 0.5000 0.0000 0.5000  4 Zr 2.96, 4 Re 2.96
Re 0.5000 0.5000 0.0000  8 Zr 2.96

## Properties
- E (eV/f.u.) = -38.0

Record 9
# ZrRe

A relaxed ZrRe crystal (PBE-GGA, Alexandria via LeMat-Bulk).

Cell lengths 10.3538, 3.2264, 6.9405 Å; angles 90.00, 110.00, 90.00 degrees
Closest atoms and distances in Å follow each position.
Positions (direct):
Zr 0.0000 0.0000 0.0000  4 Re 2.95, 8 Zr 3.00-3.23
Zr 0.1684 0.5000 0.8090  4 Re 2.77-2.86, 4 Zr 3.00-3.07
Zr 0.3316 0.0000 0.1910  4 Re 2.77-2.86, 4 Zr 3.00-3.07
Zr 0.5000 0.5000 0.0000  4 Re 2.95, 8 Zr 3.00-3.23
Zr 0.6684 0.0000 0.8090  4 Re 2.77-2.86, 4 Zr 3.00-3.07
Zr 0.8316 0.5000 0.1910  4 Re 2.77-2.86, 4 Zr 3.00-3.07
Re 0.0000 0.0000 0.5000  4 Zr 2.77, 4 Re 2.78
Re 0.1647 0.5000 0.3540  4 Re 2.72-2.78, 4 Zr 2.86-2.95
Re 0.3353 0.0000 0.6460  4 Re 2.72-2.78, 4 Zr 2.86-2.95
Re 0.5000 0.5000 0.5000  4 Zr 2.77, 4 Re 2.78
Re 0.6647 0.0000 0.3540  4 Re 2.72-2.78, 4 Zr 2.86-2.95
Re 0.8353 0.5000 0.6460  4 Re 2.72-2.78, 4 Zr 2.86-2.95

## Properties
- E (eV/f.u.) = -21.1

Record 10
# ZrRe

A relaxed ZrRe crystal (PBE-GGA, Alexandria via LeMat-Bulk).

Cell lengths 2.8507, 2.8507, 5.1192 Å; angles 90.00, 90.00, 120.00 degrees
Closest atoms and distances in Å follow each position.
Positions (direct):
Zr 0.0000 0.0000 0.0000  6 Zr 2.85, 6 Re 3.04
Re 0.6667 0.3333 0.5000  6 Re 2.85, 6 Zr 3.04

## Properties
- E (eV/f.u.) = -20.3

Which value of E does entry 1 give? -44.9 eV/f.u.

The lowest E belongs to which entry? ZrRe6

What is the E in the seventh record? -30.9 eV/f.u.

Repeat the eighth record exactly.
# Zr3Re

A relaxed Zr3Re crystal (PBE-GGA, Alexandria via LeMat-Bulk).

Cell lengths 4.8392, 4.8392, 3.4150 Å; angles 90.00, 90.00, 90.00 degrees
Closest atoms and distances in Å follow each position.
Positions (direct):
Zr 0.0000 0.0000 0.0000  8 Zr 2.96
Zr 0.0000 0.5000 0.5000  4 Zr 2.96, 4 Re 2.96
Zr 0.5000 0.0000 0.5000  4 Zr 2.96, 4 Re 2.96
Re 0.5000 0.5000 0.0000  8 Zr 2.96

## Properties
- E (eV/f.u.) = -38.0